! Ba2Sb3O7 (PBE-GGA, optimized geometry); values from VASP
&SYSTEM
  ibrav = 0, nat = 12, ntyp = 3
/
ATOMIC_SPECIES
Ba 137.33 Ba.upf
Sb 121.76 Sb.upf
O 16.00 O.upf
ATOMIC_POSITIONS angstrom
Ba 0.0000 2.3166 0.0000
Ba 0.0000 9.3967 0.0000
Sb 2.0736 0.0000 2.2632
Sb 2.0736 4.3501 2.0426
Sb 2.0736 7.3633 2.0426
O 0.0000 0.0000 1.6213
O 0.0000 4.1075 2.0388
O 0.0000 7.6059 2.0388
O 2.0736 2.1869 2.0145
O 2.0736 4.0933 4.1133
O 2.0736 7.6201 4.1133
O 2.0736 9.5265 2.0145
CELL_PARAMETERS angstrom
4.1471 0.0000 0.0000
0.0000 11.7134 0.0000
0.0000 0.0000 4.1527
! Space group = Pmm2, No. 25
! Raw total energy = -5.97 eV per atom
! ΔE_f (raw) = -1.728 eV/atom